Entry 1:
# Be7Si6 | the Alexandria database | PBE | relaxed
# Density of states at the Fermi level in states/eV/cell: 12.5
# E_form (uncorrected) in eV per atom: 0.317
# Energy in eV per atom: -4.192
data_Be7Si6
_chemical_formula_sum 'Be21 Si18'
_space_group_name_H-M_alt 'R -3 m'
_space_group_IT_number 166
_space_group_name_Hall '-R 3 2"'
_cell_length_a 4.4488
_cell_length_b 4.4488
_cell_length_c 25.0546
_cell_angle_alpha 90.00
_cell_angle_beta 90.00
_cell_angle_gamma 120.00
loop_
_atom_site_label
_atom_site_fract_x
_atom_site_fract_y
_atom_site_fract_z
_atom_site_occupancy
Be1 0.0000 0.0000 0.0000 1
Be2 0.0019 0.5010 0.5928 1
Si1 0.0000 0.0000 0.1608 1
Si2 0.0000 0.0000 0.3412 1
Si3 0.0000 0.0000 0.4475 1

=====

Entry 2:
# BeSi | the Alexandria database | PBE | relaxed
# Offset from the most stable computed form in eV/f.u.: 0.14
# Density of states at the Fermi level in states/eV/cell: 0.5
# E_form (uncorrected) in eV per atom: 0.298
# Energy in eV per atom: -4.277
data_BeSi
_chemical_formula_sum 'Be1 Si1'
_space_group_name_H-M_alt 'P -6 m 2'
_space_group_IT_number 187
_space_group_name_Hall 'P -6 2'
_cell_length_a 3.6346
_cell_length_b 3.6346
_cell_length_c 2.3567
_cell_angle_alpha 90.00
_cell_angle_beta 90.00
_cell_angle_gamma 120.00
loop_
_atom_site_label
_atom_site_fract_x
_atom_site_fract_y
_atom_site_fract_z
_atom_site_occupancy
Be1 0.0000 0.0000 0.0000 1
Si1 0.3333 0.6667 0.5000 1

=====

Entry 3:
# BeSi | the Alexandria database | PBE | relaxed
# Offset from the most stable computed form in eV/f.u.: 0.10
# Density of states at the Fermi level in states/eV/cell: 0.7
# E_form (uncorrected) in eV per atom: 0.278
# Energy in eV per atom: -4.296
data_BeSi
_chemical_formula_sum 'Be2 Si2'
_space_group_name_H-M_alt 'P -1'
_space_group_IT_number 2
_cell_length_a 3.5639
_cell_length_b 4.0830
_cell_length_c 4.6490
_cell_angle_alpha 114.14
_cell_angle_beta 90.18
_cell_angle_gamma 115.87
loop_
_space_group_symop_operation_xyz
'x,y,z'
'-x,-y,-z'
loop_
_atom_site_label
_atom_site_fract_x
_atom_site_fract_y
_atom_site_fract_z
_atom_site_occupancy
Be1 0.1744 0.3483 0.3050 1
Si1 0.1555 0.3118 0.7853 1

=====

Entry 4:
# BeSi | the Alexandria database | PBE | relaxed
# Offset from the most stable computed form in eV/f.u.: 0.32
# Density of states at the Fermi level in states/eV/cell: 0.9
# E_form (uncorrected) in eV per atom: 0.387
# Energy in eV per atom: -4.187
data_BeSi
_chemical_formula_sum 'Be2 Si2'
_space_group_name_H-M_alt 'C 1 2/m 1'
_space_group_IT_number 12
_cell_length_a 3.4907
_cell_length_b 3.7422
_cell_length_c 3.4415
_cell_angle_alpha 90.00
_cell_angle_beta 90.72
_cell_angle_gamma 90.00
loop_
_space_group_symop_operation_xyz
'x,y,z'
'-x,-y,-z'
'-x,y,-z'
'x,-y,z'
'x+1/2,y+1/2,z'
'-x+1/2,-y+1/2,-z'
'-x+1/2,y+1/2,-z'
'x+1/2,-y+1/2,z'
loop_
_atom_site_label
_atom_site_fract_x
_atom_site_fract_y
_atom_site_fract_z
_atom_site_occupancy
Be1 0.0000 0.0000 0.0000 1
Si1 0.0000 0.5000 0.5000 1